# SmGa2TcO8

Crystalline SmGa2TcO8 at its relaxed geometry (PBE, the Alexandria database).

Values from the calculation:
- M_tot: 0.011 μB/atom
- Uncorrected energy: -6.8503 eV per atom
- Energy relative to the elements, uncorrected: -1.7833 eV/atom

Unit cell a=6.6609 b=6.7792 c=6.4138 alpha=90.00 beta=90.00 gamma=90.00
Space group Cmmm (No. 65)
Inequivalent atoms, fractional coordinates:
Sm (0.0000, 0.0000, 0.0000) [2 per cell]
Ga (0.0000, 0.5000, 0.2472) [4 per cell]
Tc (0.0000, 0.0000, 0.5000) [2 per cell]
O (0.0000, 0.2921, 0.5000) [4 per cell]
O (0.0000, 0.3252, 0.0000) [4 per cell]
O (0.2010, 0.0000, 0.2935) [8 per cell]